1.
An optimized crystal structure of Ba2Cu. Source: the Alexandria database, functional GGA-PBE.

Geometry as extended XYZ:
```
3
Lattice="5.6157 0.0000 0.0000 2.8079 4.8634 0.0000 2.8079 1.6211 4.5852" Properties=species:S:1:pos:R:3 pbc="T T T"
Ba 8.4236 4.8634 3.4389
Ba 2.8079 1.6211 1.1463
Cu 0.0000 0.0000 0.0000
```

Calculated values
As for the space group: Fm-3m (225). The value obtained for the volume is 41.74 A^3/atom. The mass density comes out at 4.48 Mg/m³. Its energy is -2.553 eV per atom.

***

2.
An optimized crystal structure of Zn2AsPb. Source: the Alexandria database, functional GGA-PBE.

Geometry as extended XYZ:
```
4
Lattice="5.4079 -0.0009 0.0000 1.7971 5.1006 0.0000 -3.6025 -2.5498 3.1250" Properties=species:S:1:pos:R:3 pbc="T T T"
Zn 0.0000 0.0000 0.0000
Zn 0.8986 2.5503 1.5625
Pb 2.7040 -0.0005 1.5625
As 3.6025 2.5498 0.0000
```

Calculated values
As for the space group: I-4m2 (119). The value obtained for the volume is 21.55 A^3/atom. The mass density comes out at 7.95 Mg/m³. Its energy is -2.476 eV per atom.

***

3.
An optimized crystal structure of La3Sc. Source: the Alexandria database, functional GGA-PBE.

Geometry as extended XYZ:
```
4
Lattice="-0.1538 3.4296 -1.1482 -4.0376 -1.1570 -2.9154 -4.3781 1.6186 5.4209" Properties=species:S:1:pos:R:3 pbc="T T T"
La -5.3792 2.3502 2.0339
La -2.1355 0.7895 2.6442
La -0.0535 0.0198 0.0663
Sc -3.1902 1.5409 -0.6766
```

Calculated values
As for the space group: Pmmm (47). The value obtained for the volume is 33.10 A^3/atom. The mass density comes out at 5.79 Mg/m³. Its energy is -5.236 eV per atom.

***

4.
An optimized crystal structure of DyMnN2. Source: the Alexandria database, functional GGA-PBE.

Geometry as extended XYZ:
```
4
Lattice="3.1551 0.0000 0.0000 1.5775 2.7324 0.0000 1.5775 0.9108 5.3339" Properties=species:S:1:pos:R:3 pbc="T T T"
N 1.5775 0.9108 1.4714
N 1.5775 0.9108 3.8206
Dy 4.7326 2.7324 5.2791
Mn 3.1551 1.8216 2.7636
```

Calculated values
As for the space group: R3m (160). The value obtained for the volume is 11.50 A^3/atom. The mass density comes out at 8.86 Mg/m³. Its energy is -8.096 eV per atom.

***

5.
An optimized crystal structure of Li2RhCl. Source: the Alexandria database, functional GGA-PBE.

Geometry as extended XYZ:
```
4
Lattice="4.6561 0.0000 0.0000 0.0000 3.5397 -0.1071 0.0000 0.1170 3.5938" Properties=species:S:1:pos:R:3 pbc="T T T"
Li 0.0000 0.5453 3.5446
Li 2.3280 0.4899 1.0202
Rh 0.0000 2.2633 1.7751
Cl 2.3280 2.3035 2.4840
```

Calculated values
As for the space group: Pm (6). The value obtained for the volume is 14.82 A^3/atom. The mass density comes out at 4.26 Mg/m³. Its energy is -3.623 eV per atom.

***

6.
An optimized crystal structure of Ba2ZnPt2. Source: the Alexandria database, functional GGA-PBE.

Geometry as extended XYZ:
```
5
Lattice="-5.2380 3.1709 1.1755 -1.3225 0.0741 -6.0925 -5.2168 -1.7174 -2.0787" Properties=species:S:1:pos:R:3 pbc="T T T"
Ba -6.8675 1.5380 -1.6808
Ba -4.9098 -0.0104 -5.3149
Pt -3.9541 0.4603 -2.3263
Pt -7.8231 1.0674 -4.6694
Zn 0.0000 0.0000 0.0000
```

Calculated values
As for the space group: I4/mmm (139). The value obtained for the volume is 30.16 A^3/atom. The mass density comes out at 8.04 Mg/m³. Its energy is -3.984 eV per atom.

***

> What is the formula in the fourth record?

DyMnN2

***

> Look up the volume of the fifth one.

14.82 A^3/atom